An optimized crystal structure of Ca5Pt2, computed with PBE.

CIF file:
```
data_Ca5Pt2
_space_group_name_H-M_alt 'C 1 2/c 1'
_space_group_IT_number 15
_cell_length_a 16.220
_cell_length_b 6.651
_cell_length_c 7.655
_cell_angle_alpha 90.00
_cell_angle_beta 97.57
_cell_angle_gamma 90.00
loop_
_space_group_symop_operation_xyz
'x,y,z'
'-x,-y,-z'
'-x,y,-z+1/2'
'x,-y,z+1/2'
'x+1/2,y+1/2,z'
'-x+1/2,-y+1/2,-z'
'-x+1/2,y+1/2,-z+1/2'
'x+1/2,-y+1/2,z+1/2'
loop_
_atom_site_label
_atom_site_type_symbol
_atom_site_fract_x
_atom_site_fract_y
_atom_site_fract_z
Ca1 Ca 0.000 0.074 0.250
Ca2 Ca 0.089 0.391 0.918
Ca3 Ca 0.218 0.079 0.321
Pt1 Pt 0.111 0.212 0.583
```

The value obtained for the energy relative to the elements is -715.4 meV/atom. As for the crystal system: monoclinic. For the total magnetization, the calculation gives 0.000 μB/atom. Its volume is 818.6 Å³ per cell.